A plane-wave DFT calculation with PBE was carried out for an optimized crystal structure of KTlOs.

Geometry as POSCAR:
```
KTlOs
1.0
-4.971 6.211 1.378
-5.691 3.502 4.531
6.827 -3.914 -1.804
K Os Tl
1 1 1
Direct
0.992 0.992 0.000 K
0.322 0.322 0.000 Os
0.685 0.685 0.000 Tl
```

Calculated values
E above lowest polymorph = 0.127 eV per atom
space group = I4mm (107)
formation enthalpy at 0 K = 1.0400 eV/atom

A plane-wave DFT calculation with PBE was carried out for an optimized crystal structure of K2YUSe4.

Geometry as POSCAR:
```
K2YUSe4
1.0
-1.913 1.567 3.427
1.476 -6.170 3.645
6.205 5.057 1.152
K Y U Se
2 1 1 4
Direct
0.500 0.000 0.500 K
0.000 0.500 0.500 K
0.500 0.500 0.000 Y
0.000 0.000 0.000 U
0.500 0.237 0.208 Se
0.500 0.763 0.792 Se
0.000 0.266 0.793 Se
0.000 0.734 0.207 Se
```

Calculated values
space group = P2/m (10)
total energy = -45.78 eV/f.u.

no.,total magnetization (μB per formula unit)
1,0.699
2,3.006